Below is crystalline CdFeCl5 at its relaxed geometry, with properties calculated at the PBE-GGA level.

- Uncorrected formation energy: -861 meV per atom
- E: -3.519 eV/atom
- Calculated volume: 30.28 Å³ per atom

Cell lengths 7.124, 7.124, 9.503 Å; angles 109.81, 109.81, 89.37 degrees
Sites, in units of the cell vectors:
Cd 0.000 0.000 0.000
Cd 0.000 0.000 0.500
Fe 0.394 0.606 0.750
Fe 0.606 0.394 0.250
Cl 0.088 0.912 0.250
Cl 0.244 0.704 0.547
Cl 0.275 0.338 0.168
Cl 0.296 0.756 0.953
Cl 0.338 0.275 0.668
Cl 0.662 0.725 0.332
Cl 0.704 0.244 0.047
Cl 0.725 0.662 0.832
Cl 0.756 0.296 0.453
Cl 0.912 0.088 0.750